[1]
VASP calculation (PBE-GGA) on a relaxed ZnFe2Tc crystal.

```
data_ZnFe2Tc
_cell_length_a 5.1620
_cell_length_b 8.4037
_cell_length_c 2.5185
_cell_angle_alpha 90.00
_cell_angle_beta 106.34
_cell_angle_gamma 90.00
_symmetry_space_group_name_H-M 'C 1 2/m 1'
_symmetry_Int_Tables_number 12
_symmetry_space_group_name_Hall '-C 2y'
loop_
_atom_site_label
_atom_site_type_symbol
_atom_site_fract_x
_atom_site_fract_y
_atom_site_fract_z
Zn1 Zn 0.0000 0.0000 0.0000
Fe1 Fe 0.2500 0.2500 0.5000
Tc1 Tc 0.0000 0.5000 0.0000
```

energy of formation from the pure elements = 0.12 eV/atom
magnetization = 5.25 μB per formula unit
V = 104.84 Å³/cell
mass density = 8.71 g/cm3

---

[2]
VASP calculation (PBE-GGA) on a relaxed ZnFe2Tc crystal.

```
data_ZnFe2Tc
_cell_length_a 3.7360
_cell_length_b 3.7360
_cell_length_c 7.2832
_cell_angle_alpha 90.00
_cell_angle_beta 90.00
_cell_angle_gamma 90.00
_symmetry_space_group_name_H-M 'I -4 m 2'
_symmetry_Int_Tables_number 119
_symmetry_space_group_name_Hall 'I -4 -2'
loop_
_atom_site_label
_atom_site_type_symbol
_atom_site_fract_x
_atom_site_fract_y
_atom_site_fract_z
Zn1 Zn 0.0000 0.0000 0.0000
Fe1 Fe 0.0000 0.0000 0.5000
Fe2 Fe 0.0000 0.5000 0.2500
Tc1 Tc 0.0000 0.5000 0.7500
```

energy of formation from the pure elements = 0.15 eV/atom
magnetization = 4.02 μB per formula unit
V = 101.66 Å³/cell
mass density = 8.99 g/cm3

---

[3]
VASP calculation (PBE-GGA) on a relaxed Zn4FeTc crystal.

```
data_Zn4FeTc
_cell_length_a 6.9134
_cell_length_b 6.9134
_cell_length_c 6.9134
_cell_angle_alpha 90.00
_cell_angle_beta 90.00
_cell_angle_gamma 90.00
_symmetry_space_group_name_H-M 'F -4 3 m'
_symmetry_Int_Tables_number 216
_symmetry_space_group_name_Hall 'F -4 2 3'
loop_
_atom_site_label
_atom_site_type_symbol
_atom_site_fract_x
_atom_site_fract_y
_atom_site_fract_z
Zn1 Zn 0.1251 0.1251 0.1251
Fe1 Fe 0.2500 0.2500 0.7500
Tc1 Tc 0.0000 0.0000 0.5000
```

energy of formation from the pure elements = 0.17 eV/atom
magnetization = 3.47 μB per formula unit
V = 330.43 Å³/cell
mass density = 8.35 g/cm3

---

[4]
VASP calculation (PBE-GGA) on a relaxed ZnFe2Tc crystal.

```
data_ZnFe2Tc
_cell_length_a 5.8829
_cell_length_b 5.8829
_cell_length_c 5.8829
_cell_angle_alpha 90.00
_cell_angle_beta 90.00
_cell_angle_gamma 90.00
_symmetry_space_group_name_H-M 'F -4 3 m'
_symmetry_Int_Tables_number 216
_symmetry_space_group_name_Hall 'F -4 2 3'
loop_
_atom_site_label
_atom_site_type_symbol
_atom_site_fract_x
_atom_site_fract_y
_atom_site_fract_z
Zn1 Zn 0.0000 0.0000 0.0000
Fe1 Fe 0.0000 0.0000 0.5000
Fe2 Fe 0.2500 0.2500 0.2500
Tc1 Tc 0.2500 0.2500 0.7500
```

energy of formation from the pure elements = 0.16 eV/atom
magnetization = 3.47 μB per formula unit
V = 203.60 Å³/cell
mass density = 8.97 g/cm3

---

[5]
VASP calculation (PBE-GGA) on a relaxed ZnFe2Tc crystal.

```
data_ZnFe2Tc
_cell_length_a 3.0895
_cell_length_b 4.0983
_cell_length_c 8.2798
_cell_angle_alpha 90.00
_cell_angle_beta 90.00
_cell_angle_gamma 90.00
_symmetry_space_group_name_H-M 'C m m 2'
_symmetry_Int_Tables_number 35
_symmetry_space_group_name_Hall 'C 2 -2'
loop_
_atom_site_label
_atom_site_type_symbol
_atom_site_fract_x
_atom_site_fract_y
_atom_site_fract_z
Zn1 Zn 0.0000 0.0000 0.0000
Fe1 Fe 0.0000 0.0000 0.5207
Fe2 Fe 0.0000 0.5000 0.7523
Tc1 Tc 0.0000 0.5000 0.2695
```

energy of formation from the pure elements = 0.09 eV/atom
magnetization = 5.02 μB per formula unit
V = 104.84 Å³/cell
mass density = 8.71 g/cm3

---

[6]
VASP calculation (PBE-GGA) on a relaxed ZnFe2Tc crystal.

```
data_ZnFe2Tc
_cell_length_a 3.5835
_cell_length_b 3.7547
_cell_length_c 3.8510
_cell_angle_alpha 90.00
_cell_angle_beta 90.00
_cell_angle_gamma 90.00
_symmetry_space_group_name_H-M 'P m m m'
_symmetry_Int_Tables_number 47
_symmetry_space_group_name_Hall '-P 2 2'
loop_
_atom_site_label
_atom_site_type_symbol
_atom_site_fract_x
_atom_site_fract_y
_atom_site_fract_z
Zn1 Zn 0.0000 0.0000 0.0000
Fe1 Fe 0.0000 0.5000 0.5000
Fe2 Fe 0.5000 0.0000 0.5000
Tc1 Tc 0.5000 0.5000 0.0000
```

energy of formation from the pure elements = 0.17 eV/atom
magnetization = 5.15 μB per formula unit
V = 51.82 Å³/cell
mass density = 8.82 g/cm3

---

[7]
VASP calculation (PBE-GGA) on a relaxed ZnFe2Tc crystal.

```
data_ZnFe2Tc
_cell_length_a 2.8160
_cell_length_b 2.8160
_cell_length_c 6.5375
_cell_angle_alpha 90.00
_cell_angle_beta 90.00
_cell_angle_gamma 90.00
_symmetry_space_group_name_H-M 'P 4 m m'
_symmetry_Int_Tables_number 99
_symmetry_space_group_name_Hall 'P 4 -2'
loop_
_atom_site_label
_atom_site_type_symbol
_atom_site_fract_x
_atom_site_fract_y
_atom_site_fract_z
Zn1 Zn 0.0000 0.0000 0.0000
Fe1 Fe 0.0000 0.0000 0.4764
Fe2 Fe 0.5000 0.5000 0.2530
Tc1 Tc 0.5000 0.5000 0.7127
```

energy of formation from the pure elements = 0.09 eV/atom
magnetization = 4.52 μB per formula unit
V = 51.84 Å³/cell
mass density = 8.81 g/cm3

---

[8]
VASP calculation (PBE-GGA) on a relaxed ZnFe2Tc crystal.

```
data_ZnFe2Tc
_cell_length_a 2.6548
_cell_length_b 3.5805
_cell_length_c 5.4093
_cell_angle_alpha 90.00
_cell_angle_beta 90.00
_cell_angle_gamma 90.00
_symmetry_space_group_name_H-M 'P m m 2'
_symmetry_Int_Tables_number 25
_symmetry_space_group_name_Hall 'P 2 -2'
loop_
_atom_site_label
_atom_site_type_symbol
_atom_site_fract_x
_atom_site_fract_y
_atom_site_fract_z
Zn1 Zn 0.0000 0.0000 0.0000
Fe1 Fe 0.0000 0.0000 0.4879
Fe2 Fe 0.5000 0.5000 0.2449
Tc1 Tc 0.5000 0.5000 0.7121
```

energy of formation from the pure elements = 0.11 eV/atom
magnetization = 3.93 μB per formula unit
V = 51.42 Å³/cell
mass density = 8.88 g/cm3

---

[9]
VASP calculation (PBE-GGA) on a relaxed ZnFe2Tc crystal.

```
data_ZnFe2Tc
_cell_length_a 3.6847
_cell_length_b 3.6847
_cell_length_c 7.4504
_cell_angle_alpha 90.00
_cell_angle_beta 90.00
_cell_angle_gamma 90.00
_symmetry_space_group_name_H-M 'I 4/m m m'
_symmetry_Int_Tables_number 139
_symmetry_space_group_name_Hall '-I 4 2'
loop_
_atom_site_label
_atom_site_type_symbol
_atom_site_fract_x
_atom_site_fract_y
_atom_site_fract_z
Zn1 Zn 0.0000 0.0000 0.0000
Fe1 Fe 0.0000 0.5000 0.2500
Tc1 Tc 0.0000 0.0000 0.5000
```

energy of formation from the pure elements = 0.16 eV/atom
magnetization = 3.90 μB per formula unit
V = 101.15 Å³/cell
mass density = 9.03 g/cm3

---

[10]
VASP calculation (PBE-GGA) on a relaxed ZnFe2Tc crystal.

```
data_ZnFe2Tc
_cell_length_a 2.6491
_cell_length_b 2.6491
_cell_length_c 25.5309
_cell_angle_alpha 90.00
_cell_angle_beta 90.00
_cell_angle_gamma 120.00
_symmetry_space_group_name_H-M 'R 3 m'
_symmetry_Int_Tables_number 160
_symmetry_space_group_name_Hall 'R 3 -2"'
loop_
_atom_site_label
_atom_site_type_symbol
_atom_site_fract_x
_atom_site_fract_y
_atom_site_fract_z
Zn1 Zn 0.0000 0.0000 0.0000
Fe1 Fe 0.0000 0.0000 0.5827
Fe2 Fe 0.0000 0.0000 0.7504
Tc1 Tc 0.0000 0.0000 0.1659
```

energy of formation from the pure elements = 0.14 eV/atom
magnetization = 3.57 μB per formula unit
V = 155.16 Å³/cell
mass density = 8.83 g/cm3

---

[11]
VASP calculation (PBE-GGA) on a relaxed ZnFe2Tc crystal.

```
data_ZnFe2Tc
_cell_length_a 2.6422
_cell_length_b 2.6422
_cell_length_c 25.5185
_cell_angle_alpha 90.00
_cell_angle_beta 90.00
_cell_angle_gamma 120.00
_symmetry_space_group_name_H-M 'R -3 m'
_symmetry_Int_Tables_number 166
_symmetry_space_group_name_Hall '-R 3 2"'
loop_
_atom_site_label
_atom_site_type_symbol
_atom_site_fract_x
_atom_site_fract_y
_atom_site_fract_z
Zn1 Zn 0.0000 0.0000 0.0000
Fe1 Fe 0.0000 0.0000 0.2494
Tc1 Tc 0.0000 0.0000 0.5000
```

energy of formation from the pure elements = 0.13 eV/atom
magnetization = 3.35 μB per formula unit
V = 154.28 Å³/cell
mass density = 8.88 g/cm3

---

[12]
VASP calculation (PBE-GGA) on a relaxed ZnFe2Tc crystal.

```
data_ZnFe2Tc
_cell_length_a 6.5478
_cell_length_b 6.5478
_cell_length_c 5.1504
_cell_angle_alpha 90.00
_cell_angle_beta 90.00
_cell_angle_gamma 90.00
_symmetry_space_group_name_H-M 'I -4 2 d'
_symmetry_Int_Tables_number 122
_symmetry_space_group_name_Hall 'I -4 2bw'
loop_
_atom_site_label
_atom_site_type_symbol
_atom_site_fract_x
_atom_site_fract_y
_atom_site_fract_z
Zn1 Zn 0.0000 0.0000 0.0000
Fe1 Fe 0.2173 0.2500 0.6250
Tc1 Tc 0.0000 0.0000 0.5000
```

energy of formation from the pure elements = 0.70 eV/atom
magnetization = 0.00 μB per formula unit
V = 220.82 Å³/cell
mass density = 8.27 g/cm3

---

[13]
VASP calculation (PBE-GGA) on a relaxed ZnFe2Tc crystal.

```
data_ZnFe2Tc
_cell_length_a 8.7334
_cell_length_b 2.6621
_cell_length_c 4.5220
_cell_angle_alpha 90.00
_cell_angle_beta 102.57
_cell_angle_gamma 90.00
_symmetry_space_group_name_H-M 'C 1 m 1'
_symmetry_Int_Tables_number 8
_symmetry_space_group_name_Hall 'C -2y'
loop_
_atom_site_label
_atom_site_type_symbol
_atom_site_fract_x
_atom_site_fract_y
_atom_site_fract_z
Zn1 Zn 0.0000 0.0000 0.0000
Fe1 Fe 0.0083 0.5000 0.5115
Fe2 Fe 0.2467 0.0000 0.7699
Tc1 Tc 0.2614 0.5000 0.2913
```

energy of formation from the pure elements = 0.12 eV/atom
magnetization = 4.08 μB per formula unit
V = 102.61 Å³/cell
mass density = 8.90 g/cm3

---

[14]
VASP calculation (PBE-GGA) on a relaxed ZnFe2Tc crystal.

```
data_ZnFe2Tc
_cell_length_a 3.1224
_cell_length_b 4.0575
_cell_length_c 8.2482
_cell_angle_alpha 90.00
_cell_angle_beta 90.00
_cell_angle_gamma 90.00
_symmetry_space_group_name_H-M 'C m m m'
_symmetry_Int_Tables_number 65
_symmetry_space_group_name_Hall '-C 2 2'
loop_
_atom_site_label
_atom_site_type_symbol
_atom_site_fract_x
_atom_site_fract_y
_atom_site_fract_z
Zn1 Zn 0.0000 0.0000 0.0000
Fe1 Fe 0.0000 0.5000 0.2479
Tc1 Tc 0.0000 0.0000 0.5000
```

energy of formation from the pure elements = 0.09 eV/atom
magnetization = 4.85 μB per formula unit
V = 104.50 Å³/cell
mass density = 8.74 g/cm3